Model w:
First-principles (PBE) data for a relaxed structure of LaZnSbI2, as listed in Alexandria.

Summary:
Theoretical density in Mg/m³: 5.890
Crystal system: tetragonal
Fermi-level density of states in states/eV/atom: 0.511

Unit cell a=5.412 b=5.412 c=5.582 alpha=90.00 beta=90.00 gamma=90.00
Site moments in Bohr magnetons follow the coordinates.
Atoms (fractional coordinates):
I 0.000 0.500 0.000  0.00
I 0.500 0.000 0.000  0.00
Zn 0.000 0.000 0.000  0.00
Sb 0.000 0.000 0.500  0.01
La 0.500 0.500 0.500  -0.19

=====

Model x:
First-principles (PBE) data for a relaxed structure of LaZnSbI2, as listed in Alexandria.

Summary:
Theoretical density in Mg/m³: 3.706
Crystal system: tetragonal
Fermi-level density of states in states/eV/atom: 0.243

Unit cell a=6.308 b=6.308 c=6.530 alpha=90.00 beta=90.00 gamma=90.00
Site moments in Bohr magnetons follow the coordinates.
Atoms (fractional coordinates):
Zn 0.500 0.500 0.500  0.04
La 0.000 0.000 0.000  0.05
Sb 0.000 0.000 0.500  0.62
I 0.500 0.000 0.000  0.04
I 0.000 0.500 0.000  0.04

=====

In order of decreasing stability: model x, model w.

=====

Model w:
First-principles (PBE) data for a relaxed structure of LaSc2I, as listed in Alexandria.

Summary:
Theoretical density in Mg/m³: 5.637
Crystal system: cubic
Fermi-level density of states in states/eV/atom: 1.577

Unit cell a=5.292 b=5.292 c=5.292 alpha=60.00 beta=60.00 gamma=60.00
Atoms (fractional coordinates):
Sc 0.750 0.750 0.750
Sc 0.250 0.250 0.250
I 0.000 0.000 0.000
La 0.500 0.500 0.500

=====

Model x:
First-principles (PBE) data for a relaxed structure of LaSc2I, as listed in Alexandria.

Summary:
Theoretical density in Mg/m³: 4.587
Crystal system: trigonal
Fermi-level density of states in states/eV/atom: 1.505

Unit cell a=11.237 b=11.237 c=11.237 alpha=18.80 beta=18.80 gamma=18.80
Site moments in Bohr magnetons follow the coordinates.
Atoms (fractional coordinates):
I 0.000 0.000 0.000  -0.01
Sc 0.916 0.916 0.916  0.09
Sc 0.084 0.084 0.084  0.09
La 0.500 0.500 0.500  -0.01

=====

In order of decreasing stability: model x, model w.

=====

Model w:
First-principles (PBE) data for a relaxed structure of La2Se2I, as listed in Alexandria.

Summary:
Theoretical density in Mg/m³: 6.452
Crystal system: tetragonal
Fermi-level density of states in states/eV/atom: 0.298

Unit cell a=8.565 b=8.565 c=3.948 alpha=90.00 beta=90.00 gamma=90.00
Atoms (fractional coordinates):
Se 0.139 0.639 0.500
Se 0.361 0.139 0.500
Se 0.861 0.361 0.500
Se 0.639 0.861 0.500
La 0.153 0.347 0.000
La 0.847 0.653 0.000
La 0.653 0.153 0.000
La 0.347 0.847 0.000
I 0.500 0.500 0.000
I 0.000 0.000 0.000

=====

Model x:
First-principles (PBE) data for a relaxed structure of La2Se2I, as listed in Alexandria.

Summary:
Theoretical density in Mg/m³: 4.982
Crystal system: orthorhombic
Fermi-level density of states in states/eV/atom: 0.597

Unit cell a=4.549 b=5.960 c=7.867 alpha=112.26 beta=106.81 gamma=90.00
Atoms (fractional coordinates):
La 0.319 0.819 0.637
La 0.681 0.181 0.363
Se 0.320 0.320 0.639
Se 0.680 0.680 0.361
I 0.000 0.000 0.000

=====

In order of decreasing stability: model w, model x.

=====

Model w:
First-principles (PBE) data for a relaxed structure of LaSe2I, as listed in Alexandria.

Summary:
Theoretical density in Mg/m³: 5.174
Crystal system: trigonal
Fermi-level density of states in states/eV/atom: 1.275

Unit cell a=10.163 b=10.163 c=10.163 alpha=22.60 beta=22.60 gamma=22.60
Atoms (fractional coordinates):
I 0.500 0.500 0.500
La 0.000 0.000 0.000
Se 0.093 0.093 0.093
Se 0.907 0.907 0.907

=====

Model x:
First-principles (PBE) data for a relaxed structure of LaSe2I, as listed in Alexandria.

Summary:
Theoretical density in Mg/m³: 5.157
Crystal system: tetragonal
Fermi-level density of states in states/eV/atom: 0.112

Unit cell a=5.027 b=5.027 c=11.369 alpha=77.23 beta=77.23 gamma=90.00
Atoms (fractional coordinates):
Se 0.944 0.625 0.250
Se 0.375 0.194 0.750
Se 0.875 0.056 0.750
Se 0.806 0.125 0.250
La 0.000 0.000 0.000
La 0.750 0.250 0.500
I 0.250 0.750 0.500
I 0.500 0.500 0.000

=====

Model y:
First-principles (PBE) data for a relaxed structure of LaSe2I, as listed in Alexandria.

Summary:
Theoretical density in Mg/m³: 6.429
Crystal system: cubic
Fermi-level density of states in states/eV/atom: 1.876

Unit cell a=5.369 b=5.369 c=5.369 alpha=60.00 beta=60.00 gamma=60.00
Atoms (fractional coordinates):
I 0.000 0.000 0.000
Se 0.750 0.750 0.750
Se 0.250 0.250 0.250
La 0.500 0.500 0.500

=====

In order of decreasing stability: model x, model y, model w.